The following is a DFT calculation (GGA-PBE) of crystalline Cs2RbInO at its relaxed geometry.

Cell lengths 7.3738, 7.3738, 6.2702 Å; angles 90.00, 90.00, 90.00 degrees
Closest atoms and distances in Å follow each position.
Space group P4/mmm (No. 123)
Asymmetric unit:
Cs 0.0000 0.5000 0.0000  2 Rb 3.69
Rb 0.0000 0.0000 0.0000  2 In 3.14
In 0.0000 0.0000 0.5000  2 Rb 3.14
O 0.5000 0.5000 0.5000  8 Cs 4.84, 4 In 5.21

Summary:
Total moment, Bohr magnetons per cell: 1.51
E, eV/cell: -6.9
Formation energy from raw total energies, meV/atom: 695

---

The following is a DFT calculation (GGA-PBE) of crystalline ScTaTiW at its relaxed geometry.

Cell lengths 6.6021, 6.6021, 6.6021 Å; angles 90.00, 90.00, 90.00 degrees
Closest atoms and distances in Å follow each position.
Space group F-43m (No. 216)
Asymmetric unit:
Sc 0.0000 0.0000 0.0000  4 Ti 2.86, 4 Ta 2.86
Ta 0.2500 0.2500 0.7500  4 Sc 2.86, 4 W 2.86
Ti 0.2500 0.2500 0.2500  4 W 2.86, 4 Sc 2.86
W 0.0000 0.0000 0.5000  4 Ta 2.86, 4 Ti 2.86

Summary:
Total moment, Bohr magnetons per cell: 0.01
E, eV/cell: -154.2